Record 1
Te2AsCl: relaxed, GGA-PBEsol.

Cell lengths 3.867, 3.867, 8.337 Å; angles 92.48, 92.48, 57.32 degrees
Fractional coordinates of all 4 atoms:
Te 0.190 0.190 0.217
Te 0.810 0.810 0.783
As 0.500 0.500 0.000
Cl 0.000 0.000 0.500

Summary:
E_form (uncorrected): -56 meV/atom
VASP energy: -3.597 eV per atom
M_tot: 0.000 Bohr magnetons per cell
Energy relative to the lowest polymorph listed for this composition: 0.0000 eV/atom
SG: No. 12
Crystal system: monoclinic

=====

Record 2
Te2AsCl: relaxed, GGA-PBEsol.

Cell lengths 3.141, 3.141, 10.291 Å; angles 90.00, 90.00, 90.00 degrees
Fractional coordinates of all 4 atoms:
Te 0.000 0.000 0.000
Te 0.500 0.500 0.320
As 0.000 0.000 0.519
Cl 0.500 0.500 0.685

Summary:
E_form (uncorrected): 200 meV/atom
VASP energy: -3.341 eV per atom
M_tot: 0.000 Bohr magnetons per cell
Energy relative to the lowest polymorph listed for this composition: 0.2561 eV/atom
SG: No. 99
Crystal system: tetragonal

=====

Record 3
TiAs2Cl: relaxed, GGA-PBEsol.

Cell lengths 10.748, 10.748, 10.748 Å; angles 159.88, 159.88, 28.60 degrees
Fractional coordinates of all 8 atoms:
Ti 0.000 0.000 0.000
Ti 0.750 0.250 0.500
As 0.082 0.625 0.957
As 0.375 0.332 0.457
As 0.668 0.125 0.043
As 0.875 0.918 0.543
Cl 0.250 0.750 0.500
Cl 0.500 0.500 0.000

Summary:
E_form (uncorrected): -194 meV/atom
VASP energy: -5.330 eV per atom
M_tot: 0.808 Bohr magnetons per cell
SG: No. 122
Crystal system: tetragonal

=====

Record 4
TiAsCl3: relaxed, GGA-PBEsol.

Cell lengths 4.830, 4.830, 4.830 Å; angles 90.00, 90.00, 90.00 degrees
Fractional coordinates of all 5 atoms:
Ti 0.000 0.000 0.000
As 0.500 0.500 0.500
Cl 0.000 0.000 0.500
Cl 0.000 0.500 0.000
Cl 0.500 0.000 0.000

Summary:
E_form (uncorrected): -496 meV/atom
VASP energy: -4.387 eV per atom
M_tot: 4.009 Bohr magnetons per cell
SG: No. 221
Crystal system: cubic

=====

Record 5
TlAsCl2: relaxed, GGA-PBEsol.

Cell lengths 4.734, 3.610, 6.427 Å; angles 90.00, 111.11, 90.00 degrees
Fractional coordinates of all 4 atoms:
Tl 0.000 0.000 0.000
As 0.500 0.000 0.500
Cl 0.344 0.500 0.716
Cl 0.656 0.500 0.284

Summary:
E_form (uncorrected): -310 meV/atom
VASP energy: -3.248 eV per atom
M_tot: 0.000 Bohr magnetons per cell
Energy relative to the lowest polymorph listed for this composition: 0.0000 eV/atom
SG: No. 10
Crystal system: monoclinic

=====

Record 6
TlAsCl2: relaxed, GGA-PBEsol.

Cell lengths 6.615, 6.615, 6.615 Å; angles 144.49, 144.49, 51.10 degrees
Fractional coordinates of all 4 atoms:
Tl 0.000 0.000 0.000
As 0.750 0.250 0.500
Cl 0.250 0.750 0.500
Cl 0.500 0.500 0.000

Summary:
E_form (uncorrected): -47 meV/atom
VASP energy: -2.985 eV per atom
M_tot: 1.152 Bohr magnetons per cell
Energy relative to the lowest polymorph listed for this composition: 0.2625 eV/atom
SG: No. 119
Crystal system: tetragonal

=====

Record 7
YAsCl2: relaxed, GGA-PBEsol.

Cell lengths 5.330, 5.330, 6.016 Å; angles 102.22, 102.22, 42.13 degrees
Fractional coordinates of all 4 atoms:
Y 0.000 0.000 0.000
As 0.288 0.288 0.949
Cl 0.421 0.421 0.664
Cl 0.637 0.637 0.276

Summary:
E_form (uncorrected): -1196 meV/atom
VASP energy: -5.182 eV per atom
M_tot: 0.000 Bohr magnetons per cell
Energy relative to the lowest polymorph listed for this composition: 0.1088 eV/atom
SG: No. 8
Crystal system: monoclinic

=====

Record 8
YAs4Cl: relaxed, GGA-PBEsol.

Cell lengths 5.551, 5.551, 5.551 Å; angles 60.00, 60.00, 60.00 degrees
Fractional coordinates of all 6 atoms:
Y 0.000 0.000 0.000
As 0.378 0.378 0.378
As 0.378 0.378 0.867
As 0.378 0.867 0.378
As 0.867 0.378 0.378
Cl 0.750 0.750 0.750

Summary:
E_form (uncorrected): -382 meV/atom
VASP energy: -5.258 eV per atom
M_tot: 0.000 Bohr magnetons per cell
SG: No. 216
Crystal system: cubic

=====

Record 9
YAsCl2: relaxed, GGA-PBEsol.

Cell lengths 5.363, 5.363, 5.363 Å; angles 132.65, 132.65, 69.21 degrees
Fractional coordinates of all 4 atoms:
Y 0.000 0.000 0.000
As 0.500 0.500 0.000
Cl 0.250 0.750 0.500
Cl 0.750 0.250 0.500

Summary:
E_form (uncorrected): -972 meV/atom
VASP energy: -4.959 eV per atom
M_tot: 0.000 Bohr magnetons per cell
Energy relative to the lowest polymorph listed for this composition: 0.3323 eV/atom
SG: No. 139
Crystal system: tetragonal

=====

Record 10
YAsCl2: relaxed, GGA-PBEsol.

Cell lengths 10.026, 10.026, 10.026 Å; angles 19.58, 19.58, 19.58 degrees
Fractional coordinates of all 4 atoms:
Y 0.000 0.000 0.000
As 0.500 0.500 0.500
Cl 0.273 0.273 0.273
Cl 0.727 0.727 0.727

Summary:
E_form (uncorrected): -950 meV/atom
VASP energy: -4.936 eV per atom
M_tot: 0.499 Bohr magnetons per cell
Energy relative to the lowest polymorph listed for this composition: 0.3549 eV/atom
SG: No. 166
Crystal system: trigonal

=====

Record 11
YAsCl2: relaxed, GGA-PBEsol.

Cell lengths 6.626, 6.626, 4.495 Å; angles 96.84, 96.84, 32.51 degrees
Fractional coordinates of all 4 atoms:
Y 0.000 0.000 0.000
As 0.500 0.500 0.500
Cl 0.342 0.342 0.791
Cl 0.658 0.658 0.209

Summary:
E_form (uncorrected): -1305 meV/atom
VASP energy: -5.291 eV per atom
M_tot: 0.000 Bohr magnetons per cell
Energy relative to the lowest polymorph listed for this composition: 0.0000 eV/atom
SG: No. 12
Crystal system: monoclinic

=====

Record 12
ZnAsCl3: relaxed, GGA-PBEsol.

Cell lengths 4.774, 4.774, 4.774 Å; angles 90.00, 90.00, 90.00 degrees
Fractional coordinates of all 5 atoms:
Zn 0.000 0.000 0.000
As 0.500 0.500 0.500
Cl 0.000 0.000 0.500
Cl 0.000 0.500 0.000
Cl 0.500 0.000 0.000

Summary:
E_form (uncorrected): -127 meV/atom
VASP energy: -2.669 eV per atom
M_tot: 2.005 Bohr magnetons per cell
SG: No. 221
Crystal system: cubic

=====

Record 13
ZnAs2Cl: relaxed, GGA-PBEsol.

Cell lengths 6.928, 6.928, 6.928 Å; angles 149.87, 149.87, 43.14 degrees
Fractional coordinates of all 4 atoms:
Zn 0.000 0.000 0.000
As 0.250 0.750 0.500
As 0.750 0.250 0.500
Cl 0.500 0.500 0.000

Summary:
E_form (uncorrected): 133 meV/atom
VASP energy: -3.318 eV per atom
M_tot: 0.000 Bohr magnetons per cell
Energy relative to the lowest polymorph listed for this composition: 0.0935 eV/atom
SG: No. 139
Crystal system: tetragonal

=====

Record 14
Zn2AsCl: relaxed, GGA-PBEsol.

Cell lengths 7.066, 7.066, 7.066 Å; angles 133.51, 133.51, 67.86 degrees
Fractional coordinates of all 8 atoms:
Zn 0.091 0.625 0.966
Zn 0.375 0.341 0.466
Zn 0.659 0.125 0.034
Zn 0.875 0.909 0.534
As 0.000 0.000 0.000
As 0.750 0.250 0.500
Cl 0.250 0.750 0.500
Cl 0.500 0.500 0.000

Summary:
E_form (uncorrected): -417 meV/atom
VASP energy: -2.986 eV per atom
M_tot: 0.000 Bohr magnetons per cell
Energy relative to the lowest polymorph listed for this composition: 0.0000 eV/atom
SG: No. 122
Crystal system: tetragonal

=====

Record 15
ZnAs2Cl: relaxed, GGA-PBEsol.

Cell lengths 4.962, 4.962, 2.914 Å; angles 90.00, 90.00, 90.00 degrees
Fractional coordinates of all 4 atoms:
Zn 0.000 0.000 0.000
As 0.000 0.500 0.500
As 0.500 0.000 0.500
Cl 0.500 0.500 0.000

Summary:
E_form (uncorrected): 325 meV/atom
VASP energy: -3.125 eV per atom
M_tot: 0.000 Bohr magnetons per cell
Energy relative to the lowest polymorph listed for this composition: 0.2859 eV/atom
SG: No. 123
Crystal system: tetragonal

=====

Record 16
Zn2AsCl: relaxed, GGA-PBEsol.

Cell lengths 6.914, 6.914, 3.582 Å; angles 90.55, 90.55, 30.55 degrees
Fractional coordinates of all 4 atoms:
Zn 0.000 0.000 0.000
Zn 0.659 0.659 0.007
As 0.136 0.136 0.505
Cl 0.392 0.392 0.996

Summary:
E_form (uncorrected): -281 meV/atom
VASP energy: -2.851 eV per atom
M_tot: 0.000 Bohr magnetons per cell
Energy relative to the lowest polymorph listed for this composition: 0.1355 eV/atom
SG: No. 8
Crystal system: monoclinic

=====

Record 17
ZnAs2Cl: relaxed, GGA-PBEsol.

Cell lengths 6.186, 6.186, 6.186 Å; angles 151.36, 138.69, 51.04 degrees
Fractional coordinates of all 4 atoms:
Zn 0.000 0.000 0.000
As 0.204 0.704 0.500
As 0.796 0.296 0.500
Cl 0.500 0.500 0.000

Summary:
E_form (uncorrected): 39 meV/atom
VASP energy: -3.411 eV per atom
M_tot: 0.000 Bohr magnetons per cell
Energy relative to the lowest polymorph listed for this composition: 0.0000 eV/atom
SG: No. 71
Crystal system: orthorhombic

=====

Record 18
Zn2AsCl: relaxed, GGA-PBEsol.

Cell lengths 6.239, 6.239, 4.595 Å; angles 111.02, 111.02, 25.86 degrees
Fractional coordinates of all 4 atoms:
Zn 0.220 0.220 0.222
Zn 0.780 0.780 0.778
As 0.500 0.500 0.000
Cl 0.000 0.000 0.500

Summary:
E_form (uncorrected): 192 meV/atom
VASP energy: -2.378 eV per atom
M_tot: 0.000 Bohr magnetons per cell
Energy relative to the lowest polymorph listed for this composition: 0.6088 eV/atom
SG: No. 12
Crystal system: monoclinic

=====

Record 19
Zr2AsCl: relaxed, GGA-PBEsol.

Cell lengths 3.088, 3.088, 8.995 Å; angles 90.00, 90.00, 90.00 degrees
Fractional coordinates of all 4 atoms:
Zr 0.000 0.000 0.000
Zr 0.500 0.500 0.269
As 0.000 0.000 0.484
Cl 0.500 0.500 0.829

Summary:
E_form (uncorrected): -651 meV/atom
VASP energy: -6.974 eV per atom
M_tot: 0.000 Bohr magnetons per cell
SG: No. 99
Crystal system: tetragonal

=====

Record 20
CoAs3: relaxed, GGA-PBEsol.

Cell lengths 5.152, 5.152, 5.038 Å; angles 90.00, 90.00, 89.79 degrees
Fractional coordinates of all 8 atoms:
Co 0.038 0.962 0.750
Co 0.962 0.038 0.250
As 0.020 0.406 0.750
As 0.406 0.020 0.250
As 0.498 0.502 0.250
As 0.502 0.498 0.750
As 0.594 0.980 0.750
As 0.980 0.594 0.250

Summary:
ΔH_f (0 K): 267 meV per atom
VASP energy: -5.497 eV per atom
M_tot: 1.425 Bohr magnetons per cell
Energy relative to the lowest polymorph listed for this composition: 0.6197 eV/atom
SG: No. 63
Crystal system: orthorhombic